Entry from the Alexandria database: KFeRu at its PBEsol-relaxed geometry (SCAN). Values from VASP.

Values from the calculation:
* spin magnetization: 1.2752 μB/atom
* distance to the lowest polymorph of the same formula: 0.543 eV per atom
* energy of formation from the pure elements: 1322 meV/atom
* V: 17.55 Å³/atom

```
&SYSTEM
  ibrav = 0, nat = 3, ntyp = 3
/
ATOMIC_SPECIES
K 39.10 K.upf
Fe 55.84 Fe.upf
Ru 101.07 Ru.upf
CELL_PARAMETERS angstrom
4.914 0.000 0.000
-2.457 4.255 0.000
0.000 0.000 2.519
ATOMIC_POSITIONS crystal
K 0.000 0.000 0.000
Fe 0.667 0.333 0.500
Ru 0.333 0.667 0.500
```